1.
DFT (GGA-PBEsol) results for Sr4TaP after structural relaxation.

Properties
M_tot   3.70 μB per cell
Formation enthalpy at 0 K   1.155 eV per atom
Space group   F-43m

Geometry as POSCAR:
```
Sr4TaP
1.0
0.0000 4.6009 4.6009
4.6009 0.0000 4.6009
4.6009 4.6009 0.0000
Sr Ta P
4 1 1
direct
0.1249 0.1249 0.1249
0.1249 0.1249 0.6252
0.1249 0.6252 0.1249
0.6252 0.1249 0.1249
0.5000 0.5000 0.5000
0.7500 0.7500 0.7500
```

---

2.
DFT (GGA-PBEsol) results for Mn2CoP after structural relaxation.

Properties
M_tot   1.60 μB per cell
Formation enthalpy at 0 K   -0.187 eV per atom
Space group   P4mm

Geometry as POSCAR:
```
Mn2CoP
1.0
2.6440 0.0000 0.0000
0.0000 2.6440 0.0000
0.0000 0.0000 5.9786
Mn Co P
2 1 1
direct
0.0000 0.0000 0.0000
0.5000 0.5000 0.2653
0.5000 0.5000 0.7033
0.0000 0.0000 0.4911
```

---

3.
DFT (GGA-PBEsol) results for HfPRu after structural relaxation.

Properties
M_tot   0.00 μB per cell
Formation enthalpy at 0 K   -1.141 eV per atom
Space group   P-62m

Geometry as POSCAR:
```
HfPRu
1.0
6.3611 0.0000 0.0000
-3.1806 5.5089 0.0000
0.0000 0.0000 3.7430
Hf P Ru
3 3 3
direct
0.0000 0.4162 0.0000
0.4162 0.0000 0.0000
0.5838 0.5838 0.0000
0.0000 0.0000 0.0000
0.3333 0.6667 0.5000
0.6667 0.3333 0.5000
0.0000 0.7542 0.5000
0.2458 0.2458 0.5000
0.7542 0.0000 0.5000
```

---

4.
DFT (GGA-PBEsol) results for Ca3Ga2Fe2O10 after structural relaxation.

Properties
M_tot   16.02 μB per cell
Formation energy from raw total energies   -2035 meV/atom
Space group   Pc

Geometry as POSCAR:
```
Ca3Ga2Fe2O10
1.0
5.7477 0.0000 0.0000
0.0000 5.4070 0.0000
-5.3477 0.0000 13.4539
Ca Ga Fe O
6 4 4 20
direct
0.0000 0.2262 0.0000
0.0000 0.7738 0.5000
0.1251 0.2733 0.2263
0.1251 0.7267 0.7263
0.6796 0.2285 0.6993
0.6796 0.7715 0.1993
0.3955 0.1823 0.8624
0.3955 0.8177 0.3624
0.7134 0.3122 0.3658
0.7134 0.6878 0.8658
0.0790 0.2575 0.6090
0.0790 0.7425 0.1090
0.5658 0.2674 0.1059
0.5658 0.7326 0.6059
0.1178 0.2716 0.7518
0.1178 0.7284 0.2518
0.2962 0.0060 0.6351
0.2962 0.9940 0.1351
0.3459 0.4857 0.1336
0.3459 0.5143 0.6336
0.3581 0.2826 0.9761
0.3581 0.7174 0.4761
0.4323 0.1537 0.3629
0.4323 0.8463 0.8629
0.6805 0.3407 0.8570
0.6805 0.6593 0.3570
0.7552 0.2304 0.2476
0.7552 0.7696 0.7476
0.7770 0.0422 0.0919
0.7770 0.9578 0.5919
0.8326 0.4855 0.5935
0.8326 0.5145 0.0935
0.9889 0.2143 0.4732
0.9889 0.7857 0.9732
```